one.
The following is a DFT calculation (PBE-GGA) of an optimized crystal structure of CaNbIO2.

```
data_CaNbIO2
_chemical_formula_sum 'Ca1 Nb1 I1 O2'
_symmetry_space_group_name_H-M 'P 4/m m m'
_symmetry_Int_Tables_number 123
_symmetry_space_group_name_Hall '-P 4 2'
_cell_length_a 4.141
_cell_length_b 4.141
_cell_length_c 5.757
_cell_angle_alpha 90.00
_cell_angle_beta 90.00
_cell_angle_gamma 90.00
loop_
_atom_site_label
_atom_site_type_symbol
_atom_site_fract_x
_atom_site_fract_y
_atom_site_fract_z
Ca1 Ca 0.000 0.000 0.000
Nb1 Nb 0.500 0.500 0.500
I1 I 0.500 0.500 0.000
O1 O 0.000 0.500 0.500
```

=====

two.
The following is a DFT calculation (PBE-GGA) of an optimized crystal structure of CaNbIO2.

```
data_CaNbIO2
_chemical_formula_sum 'Ca1 Nb1 I1 O2'
_symmetry_space_group_name_H-M 'P 4/m m m'
_symmetry_Int_Tables_number 123
_symmetry_space_group_name_Hall '-P 4 2'
_cell_length_a 4.347
_cell_length_b 4.347
_cell_length_c 5.850
_cell_angle_alpha 90.00
_cell_angle_beta 90.00
_cell_angle_gamma 90.00
loop_
_atom_site_label
_atom_site_type_symbol
_atom_site_fract_x
_atom_site_fract_y
_atom_site_fract_z
Ca1 Ca 0.000 0.000 0.000
Nb1 Nb 0.500 0.500 0.500
I1 I 0.000 0.000 0.500
O1 O 0.000 0.500 0.000
```

=====

Relative stability in meV per atom, measured from the most stable structure: one 0; two 1325